1) First-principles (PBE-GGA) data for a geometry-optimized CuTePN2 structure, as listed in Alexandria via LeMat-Bulk.

a b c (Å): 3.463 3.463 6.518
angles (deg): 90.00 90.00 90.00
Fractional positions:
P  0.000  0.000  0.000
Cu  0.500  0.500  0.500
Te  0.000  0.000  0.500
N  0.500  0.000  0.000
N  0.000  0.500  0.000

## Properties
space group: P4/mmm

***

2) First-principles (PBE-GGA) data for a geometry-optimized CuTePN2 structure, as listed in Alexandria via LeMat-Bulk.

a b c (Å): 3.794 3.794 5.431
angles (deg): 90.00 90.00 90.00
Fractional positions:
Te  0.000  0.000  0.500
N  0.500  0.000  0.000
N  0.000  0.500  0.000
P  0.500  0.500  0.500
Cu  0.000  0.000  0.000

## Properties
space group: P4/mmm

***

Calculated relative energies: 1) 0; 2) 814, given in meV per atom

***

1) First-principles (PBE-GGA) data for a geometry-optimized CuTe2PN structure, as listed in Alexandria via LeMat-Bulk.

a b c (Å): 5.284 5.284 3.564
angles (deg): 90.00 90.00 90.00
Fractional positions:
Te  0.000  0.500  0.000
Te  0.500  0.000  0.000
P  0.500  0.500  0.500
N  0.000  0.000  0.500
Cu  0.000  0.000  0.000

## Properties
space group: P4/mmm

***

2) First-principles (PBE-GGA) data for a geometry-optimized CuTe2PN structure, as listed in Alexandria via LeMat-Bulk.

a b c (Å): 5.505 5.505 3.230
angles (deg): 90.00 90.00 90.00
Fractional positions:
Te  0.000  0.500  0.000
Te  0.500  0.000  0.000
Cu  0.500  0.500  0.500
N  0.000  0.000  0.500
P  0.000  0.000  0.000

## Properties
space group: P4/mmm

***

Calculated relative energies: 1) 374; 2) 0, given in meV per atom

***

1) First-principles (PBE-GGA) data for a geometry-optimized PaCuN structure, as listed in Alexandria via LeMat-Bulk.

a b c (Å): 4.236 3.825 3.825
angles (deg): 120.00 90.00 90.00
Fractional positions:
Pa  0.167  0.667  0.333
N  0.166  0.000  0.000
Cu  0.667  0.333  0.667

## Properties
space group: P-6m2

***

2) First-principles (PBE-GGA) data for a geometry-optimized PaCuN structure, as listed in Alexandria via LeMat-Bulk.

a b c (Å): 3.870 3.870 4.320
angles (deg): 116.61 116.61 90.00
Fractional positions:
Cu  0.986  0.986  0.971
N  0.277  0.277  0.554
Pa  0.587  0.587  0.174

## Properties
space group: I4mm

***

3) First-principles (PBE-GGA) data for a geometry-optimized PaCuN structure, as listed in Alexandria via LeMat-Bulk.

a b c (Å): 3.310 3.315 5.396
angles (deg): 107.89 107.86 90.00
Fractional positions:
Cu  0.974  0.974  0.948
Pa  0.263  0.263  0.526
N  0.763  0.763  0.526

## Properties
space group: I4mm

***

Calculated relative energies: 1) 0; 2) 504; 3) 40, given in meV per atom

***

1) First-principles (PBE-GGA) data for a geometry-optimized Cu2PbN structure, as listed in Alexandria via LeMat-Bulk.

a b c (Å): 4.369 4.369 4.369
angles (deg): 60.00 60.00 60.00
Fractional positions:
N  0.000  0.000  0.000
Cu  0.250  0.250  0.250
Cu  0.750  0.750  0.750
Pb  0.500  0.500  0.500

## Properties
space group: Fm-3m

***

2) First-principles (PBE-GGA) data for a geometry-optimized Cu2PbN structure, as listed in Alexandria via LeMat-Bulk.

a b c (Å): 5.161 5.161 6.423
angles (deg): 66.31 66.31 90.00
Fractional positions:
N  0.500  0.500  0.000
N  0.250  0.750  0.500
Cu  0.376  0.625  0.250
Cu  0.875  0.624  0.750
Cu  0.374  0.125  0.250
Cu  0.375  0.626  0.750
Pb  0.000  0.000  0.000
Pb  0.750  0.250  0.500

## Properties
space group: I4_1/amd

***

Calculated relative energies: 1) 760; 2) 0, given in meV per atom

***

1) First-principles (PBE-GGA) data for a geometry-optimized CuPb3N structure, as listed in Alexandria via LeMat-Bulk.

a b c (Å): 5.109 5.109 5.109
angles (deg): 90.00 90.00 90.00
Fractional positions:
Pb  0.500  0.000  0.000
Pb  0.000  0.000  0.500
Pb  0.000  0.500  0.000
Cu  0.000  0.000  0.000
N  0.500  0.500  0.500

## Properties
space group: Pm-3m

***

2) First-principles (PBE-GGA) data for a geometry-optimized CuPb3N structure, as listed in Alexandria via LeMat-Bulk.

a b c (Å): 4.972 4.972 4.972
angles (deg): 90.00 90.00 90.00
Fractional positions:
N  0.000  0.000  0.000
Cu  0.500  0.500  0.500
Pb  0.500  0.000  0.000
Pb  0.000  0.000  0.500
Pb  0.000  0.500  0.000

## Properties
space group: Pm-3m

***

Calculated relative energies: 1) 500; 2) 0, given in meV per atom

***

1) First-principles (PBE-GGA) data for a geometry-optimized Cu3PbN structure, as listed in Alexandria via LeMat-Bulk.

a b c (Å): 4.904 4.904 4.904
angles (deg): 90.00 90.00 90.00
Fractional positions:
Pb  0.000  0.000  0.000
Cu  0.500  0.000  0.000
Cu  0.000  0.000  0.500
Cu  0.000  0.500  0.000
N  0.500  0.500  0.500

## Properties
space group: Pm-3m

***

2) First-principles (PBE-GGA) data for a geometry-optimized Cu3PbN structure, as listed in Alexandria via LeMat-Bulk.

a b c (Å): 4.143 4.143 4.143
angles (deg): 90.00 90.00 90.00
Fractional positions:
Cu  0.000  0.500  0.000
Cu  0.500  0.000  0.000
Cu  0.000  0.000  0.500
Pb  0.500  0.500  0.500
N  0.000  0.000  0.000

## Properties
space group: Pm-3m

***

Calculated relative energies: 1) 1693; 2) 0, given in meV per atom

***

1) First-principles (PBE-GGA) data for a geometry-optimized CuPbSN2 structure, as listed in Alexandria via LeMat-Bulk.

a b c (Å): 4.017 4.017 4.916
angles (deg): 90.00 90.00 90.00
Fractional positions:
S  0.000  0.000  0.500
N  0.500  0.000  0.000
N  0.000  0.500  0.000
Cu  0.000  0.000  0.000
Pb  0.500  0.500  0.500

## Properties
space group: P4/mmm

***

2) First-principles (PBE-GGA) data for a geometry-optimized CuPbSN2 structure, as listed in Alexandria via LeMat-Bulk.

a b c (Å): 4.321 4.321 5.473
angles (deg): 90.00 90.00 90.00
Fractional positions:
Pb  0.000  0.000  0.000
Cu  0.500  0.500  0.500
N  0.000  0.500  0.000
N  0.500  0.000  0.000
S  0.000  0.000  0.500

## Properties
space group: P4/mmm

***

Calculated relative energies: 1) 0; 2) 654, given in meV per atom